This record from Alexandria describes crystalline Pr4PSI2 at its relaxed geometry. The functional is GGA-PBE.

Output
Energy relative to the elements, uncorrected in eV/atom: -1.430
Total DFT energy (no corrections) in eV for the cell shown: -43.2
Space group: No. 10

a b c (Å): 4.2557 7.3036 8.0992
angles (deg): 107.74 90.00 90.00
Sites, in units of the cell vectors:
S: 0.5000 0.5000 0.0000
Pr: 0.0000 0.2733 0.8147
Pr: 0.0000 0.7267 0.1853
Pr: 0.5000 0.7698 0.8126
Pr: 0.5000 0.2302 0.1874
I: 0.5000 0.0000 0.5000
I: 0.0000 0.5000 0.5000
P: 0.0000 0.0000 0.0000

This record from Alexandria describes crystalline Pr8PS3I4 at its relaxed geometry. The functional is GGA-PBE.

Output
Energy relative to the elements, uncorrected in eV/atom: -1.453
Total DFT energy (no corrections) in eV for the cell shown: -85.5
Space group: No. 166

a b c (Å): 8.4633 9.0799 8.4633
angles (deg): 117.78 120.00 90.00
Sites, in units of the cell vectors:
Pr: 0.7273 0.6865 0.9569
Pr: 0.7704 0.3135 0.0431
Pr: 0.7281 0.6842 0.4561
Pr: 0.2719 0.3158 0.5439
Pr: 0.7704 0.3135 0.5408
Pr: 0.2296 0.6865 0.9569
Pr: 0.2727 0.3135 0.0431
Pr: 0.2296 0.6865 0.4592
S: 0.0000 0.5000 0.5000
S: 0.5000 0.5000 0.0000
S: 0.5000 0.5000 0.5000
I: 0.0000 0.0000 0.0000
I: 0.0000 0.0000 0.5000
I: 0.5000 0.0000 0.5000
I: 0.5000 0.0000 0.0000
P: 0.0000 0.5000 0.0000

This record from Alexandria describes crystalline Pr8P3SeI4 at its relaxed geometry. The functional is GGA-PBE.

Output
Energy relative to the elements, uncorrected in eV/atom: -1.380
Total DFT energy (no corrections) in eV for the cell shown: -86.2
Space group: No. 166

a b c (Å): 8.5742 9.1748 8.5742
angles (deg): 117.86 120.00 90.00
Sites, in units of the cell vectors:
Pr: 0.2356 0.6892 0.4713
Pr: 0.7644 0.3108 0.5287
Pr: 0.7644 0.3108 0.0465
Pr: 0.2821 0.3108 0.0465
Pr: 0.2356 0.6892 0.9535
Pr: 0.7297 0.6890 0.4593
Pr: 0.7179 0.6892 0.9535
Pr: 0.2703 0.3110 0.5407
I: 0.5000 0.0000 0.0000
I: 0.5000 0.0000 0.5000
I: 0.0000 0.0000 0.5000
I: 0.0000 0.0000 0.0000
P: 0.5000 0.5000 0.5000
P: 0.5000 0.5000 0.0000
P: 0.0000 0.5000 0.5000
Se: 0.0000 0.5000 0.0000

This record from Alexandria describes crystalline Pr6P2Se3I at its relaxed geometry. The functional is GGA-PBE.

Output
Energy relative to the elements, uncorrected in eV/atom: -1.619
Total DFT energy (no corrections) in eV for the cell shown: -70.9
Space group: No. 12

a b c (Å): 4.2704 8.6860 9.5565
angles (deg): 101.94 102.91 90.00
Sites, in units of the cell vectors:
P: 0.8308 0.6624 0.6616
P: 0.1692 0.3376 0.3384
Pr: 0.6710 0.5738 0.3421
Pr: 0.3202 0.8837 0.6404
Pr: 0.0114 0.2839 0.0229
Pr: 0.6798 0.1163 0.3596
Pr: 0.9886 0.7161 0.9771
Pr: 0.3290 0.4262 0.6579
Se: 0.5000 0.5000 0.0000
Se: 0.1587 0.8386 0.3175
Se: 0.8413 0.1614 0.6825
I: 0.5000 0.0000 0.0000

Number 1: DOS at the Fermi energy 4.42 states/eV/f.u.. Number 2: DOS at the Fermi energy 10.00 states/eV/f.u.. Number 3: DOS at the Fermi energy 6.69 states/eV/f.u.. Number 4: DOS at the Fermi energy 4.80 states/eV/f.u..